Arrangement i

Nd2YAl | GGA-PBE | optimized geometry

The structure belongs to space group Fm-3m (No. 225); the cell edges are 7.742, 7.742 and 7.742 Å and the angles 90.00°, 90.00° and 90.00°. Symmetry generates all atoms from Nd at (0.250, 0.250, 0.250), Y at (0.000, 0.000, 0.000) and Al at (0.000, 0.000, 0.500).


Arrangement ii

Nd2YAl | GGA-PBE | optimized geometry

The structure belongs to space group Pnma (No. 62); the cell edges are 9.671, 5.401 and 9.339 Å and the angles 90.00°, 90.00° and 90.00°. Symmetry generates all atoms from Nd at (0.088, 0.250, 0.015), Nd at (0.203, 0.750, 0.237), Y at (0.055, 0.750, 0.620) and Al at (0.242, 0.750, 0.908).


Arrangement iii

Nd2YAl | GGA-PBE | optimized geometry

The structure belongs to space group P4/mmm (No. 123); the cell edges are 4.840, 4.840 and 4.927 Å and the angles 90.00°, 90.00° and 90.00°. Symmetry generates all atoms from Nd at (0.000, 0.500, 0.000), Y at (0.000, 0.000, 0.500) and Al at (0.500, 0.500, 0.500).


Arrangement iv

Nd2YAl | GGA-PBE | optimized geometry

The structure belongs to space group P4/mmm (No. 123); the cell edges are 3.592, 3.592 and 9.323 Å and the angles 90.00°, 90.00° and 90.00°. Symmetry generates all atoms from Nd at (0.000, 0.000, 0.214), Y at (0.500, 0.500, 0.500) and Al at (0.500, 0.500, 0.000).


Out of the structures above, which one is the least stable? Solution: arrangement i.